No. 1
A plane-wave DFT calculation with meta-GGA SCAN was carried out for a crystal of Fe21Mo2C6 relaxed with PBEsol.

Summary:
As for the final energy: -17.4896 eV per atom. The symmetry is Fm-3m, No. 225.

abc: 7.2024 7.2024 7.2024
angles: 60.00 60.00 60.00
Fractional positions:
Fe1 0.0000 0.0000 0.0000
Fe2 0.0000 0.0000 0.3348
Fe3 0.0000 0.0000 0.6652
Fe4 0.0000 0.3348 0.0000
Fe5 0.0000 0.3348 0.6652
Fe6 0.0000 0.6652 0.0000
Fe7 0.0000 0.6652 0.3348
Fe8 0.1491 0.6170 0.6170
Fe9 0.3348 0.0000 0.0000
Fe10 0.3348 0.0000 0.6652
Fe11 0.3348 0.6652 0.0000
Fe12 0.3830 0.3830 0.3830
Fe13 0.3830 0.3830 0.8509
Fe14 0.3830 0.8509 0.3830
Fe15 0.6170 0.1491 0.6170
Fe16 0.6170 0.6170 0.1491
Fe17 0.6170 0.6170 0.6170
Fe18 0.6652 0.0000 0.0000
Fe19 0.6652 0.0000 0.3348
Fe20 0.6652 0.3348 0.0000
Fe21 0.8509 0.3830 0.3830
Mo1 0.2500 0.2500 0.2500
Mo2 0.7500 0.7500 0.7500
C1 0.2748 0.2748 0.7252
C2 0.2748 0.7252 0.2748
C3 0.2748 0.7252 0.7252
C4 0.7252 0.2748 0.2748
C5 0.7252 0.2748 0.7252
C6 0.7252 0.7252 0.2748

---

No. 2
A plane-wave DFT calculation with meta-GGA SCAN was carried out for a crystal of Sm2Fe17CN relaxed with PBEsol.

Summary:
As for the final energy: -19.9401 eV per atom. The symmetry is P-1, No. 2.

abc: 6.3535 6.3766 6.3908
angles: 83.72 83.61 83.95
Fractional positions:
Sm1 0.1571 0.1488 0.1631
Sm2 0.8429 0.8512 0.8369
Fe1 0.0000 0.5000 0.5000
Fe2 0.1540 0.1564 0.6424
Fe3 0.1558 0.6458 0.1614
Fe4 0.2151 0.4989 0.7853
Fe5 0.2202 0.7783 0.5024
Fe6 0.3527 0.8429 0.8401
Fe7 0.4032 0.4038 0.4053
Fe8 0.4956 0.2184 0.7833
Fe9 0.5000 0.0000 0.5000
Fe10 0.5000 0.5000 0.0000
Fe11 0.5044 0.7816 0.2167
Fe12 0.5968 0.5962 0.5947
Fe13 0.6473 0.1571 0.1599
Fe14 0.7798 0.2217 0.4976
Fe15 0.7849 0.5011 0.2147
Fe16 0.8442 0.3542 0.8386
Fe17 0.8460 0.8436 0.3576
C1 0.0000 0.5000 0.0000
N1 0.5000 0.0000 0.0000

---

No. 3
A plane-wave DFT calculation with meta-GGA SCAN was carried out for a crystal of Sr6FeC2N7 relaxed with PBEsol.

Summary:
As for the final energy: -15.6948 eV per atom. The symmetry is P2_12_12, No. 18.

abc: 9.8269 14.6220 3.7966
angles: 90.00 90.00 90.00
Fractional positions:
Sr1 0.0713 0.1104 0.0583
Sr2 0.0971 0.6666 0.5112
Sr3 0.2447 0.9422 0.5555
Sr4 0.2553 0.4422 0.4445
Sr5 0.4029 0.1666 0.4888
Sr6 0.4287 0.6104 0.9417
Sr7 0.5713 0.3896 0.9417
Sr8 0.5971 0.8334 0.4888
Sr9 0.7447 0.5578 0.4445
Sr10 0.7553 0.0578 0.5555
Sr11 0.9029 0.3334 0.5112
Sr12 0.9287 0.8896 0.0583
Fe1 0.0000 0.5000 0.9804
Fe2 0.5000 0.0000 0.0196
C1 0.2268 0.2798 0.8186
C2 0.2732 0.7798 0.1814
C3 0.7268 0.2202 0.1814
C4 0.7732 0.7202 0.8186
N1 0.0000 0.0000 0.5646
N2 0.1334 0.2500 0.6321
N3 0.1675 0.5549 0.9771
N4 0.1699 0.8076 0.0260
N5 0.3301 0.3076 0.9740
N6 0.3325 0.0549 0.0229
N7 0.3666 0.7500 0.3679
N8 0.5000 0.5000 0.4354
N9 0.6334 0.2500 0.3679
N10 0.6675 0.9451 0.0229
N11 0.6699 0.6924 0.9740
N12 0.8301 0.1924 0.0260
N13 0.8325 0.4451 0.9771
N14 0.8666 0.7500 0.6321

---

No. 4
A plane-wave DFT calculation with meta-GGA SCAN was carried out for a crystal of Na2FePCO7 relaxed with PBEsol.

Summary:
For the energy above the lowest structure with this stoichiometry, the calculation gives 0.00 eV/f.u. The symmetry is P-1, No. 2.

abc: 5.2403 6.4948 8.8012
angles: 85.78 89.30 89.22
Fractional positions:
Na1 0.2319 0.2807 0.4182
Na2 0.2473 0.0011 0.7613
Na3 0.7527 0.9989 0.2387
Na4 0.7681 0.7193 0.5818
Fe1 0.2228 0.7282 0.1550
Fe2 0.7772 0.2718 0.8450
P1 0.2801 0.2375 0.0740
P2 0.7199 0.7625 0.9260
C1 0.2843 0.7565 0.4349
C2 0.7157 0.2435 0.5651
O1 0.0582 0.7295 0.3778
O2 0.1155 0.2417 0.9302
O3 0.2131 0.0518 0.1866
O4 0.2371 0.4305 0.1641
O5 0.3169 0.7973 0.5712
O6 0.4348 0.7795 0.9751
O7 0.4744 0.7345 0.3393
O8 0.5256 0.2655 0.6607
O9 0.5652 0.2205 0.0249
O10 0.6831 0.2027 0.4288
O11 0.7629 0.5695 0.8359
O12 0.7869 0.9482 0.8134
O13 0.8845 0.7583 0.0698
O14 0.9418 0.2705 0.6222

---

Number 1: calculated volume 9.11 A^3/atom. Number 2: calculated volume 12.12 A^3/atom. Number 3: calculated volume 17.05 A^3/atom. Number 4: calculated volume 12.45 A^3/atom.